Record 1
VASP calculation (GGA-PBE) on a relaxed Sm6SnAs3Se2 crystal.

Calculated values
SG   C2/m
DFT total energy   -71.5 eV/cell
Theoretical density   7.15 g cm⁻³

Unit cell a=4.2222 b=8.5588 c=9.5120 alpha=103.05 beta=102.82 gamma=90.00
Closest atoms and distances in Å follow each position.
Sites, in units of the cell vectors:
Sm 0.3293 0.9206 0.6586  3 As 2.93-2.98, 2 Se 3.06, 1 Sn 3.08
Sm 0.6644 0.5904 0.3288  3 As 2.95-2.97, 3 Se 3.01-3.04
Sm 0.6707 0.0794 0.3414  3 As 2.93-2.98, 2 Se 3.06, 1 Sn 3.08
Sm 0.9995 0.2614 0.9990  3 As 2.94-3.00, 1 Se 3.06, 2 Sn 3.08
Sm 0.0005 0.7386 0.0010  3 As 2.94-3.00, 1 Se 3.06, 2 Sn 3.08
Sm 0.3356 0.4096 0.6712  3 As 2.95-2.97, 3 Se 3.01-3.04
Sn 0.5000 0.0000 0.0000  6 Sm 3.08
As 0.5000 0.5000 0.0000  6 Sm 2.94-2.97
As 0.8331 0.1681 0.6662  6 Sm 2.93-3.00
As 0.1669 0.8319 0.3338  6 Sm 2.93-3.00
Se 0.8311 0.6623 0.6622  6 Sm 3.01-3.06
Se 0.1689 0.3377 0.3378  6 Sm 3.01-3.06

Record 2
VASP calculation (GGA-PBE) on a relaxed Sm6Sn2AsSe3 crystal.

Calculated values
SG   C2/m
DFT total energy   -68.4 eV/cell
Theoretical density   7.15 g cm⁻³

Unit cell a=4.2902 b=8.6108 c=9.6079 alpha=102.80 beta=102.90 gamma=90.00
Closest atoms and distances in Å follow each position.
Sites, in units of the cell vectors:
Sm 0.3369 0.9230 0.6737  1 As 2.98, 3 Se 3.00-3.12, 2 Sn 3.07
Sm 0.6634 0.5880 0.3267  3 Se 2.98-3.01, 3 Sn 3.08-3.09
Sm 0.6631 0.0770 0.3263  1 As 2.98, 3 Se 3.00-3.12, 2 Sn 3.07
Sm 0.9998 0.2408 0.9995  2 As 2.98, 3 Se 3.02-3.09, 1 Sn 3.06
Sm 0.0002 0.7592 0.0005  2 As 2.98, 3 Se 3.02-3.09, 1 Sn 3.06
Sm 0.3366 0.4120 0.6733  3 Se 2.98-3.01, 3 Sn 3.08-3.09
Sn 0.8328 0.6663 0.6655  6 Sm 3.06-3.09
Sn 0.1672 0.3337 0.3345  6 Sm 3.06-3.09
As 0.5000 0.0000 0.0000  6 Sm 2.98
Se 0.5000 0.5000 0.0000  6 Sm 2.98-3.09
Se 0.8340 0.1653 0.6679  6 Sm 3.00-3.12
Se 0.1660 0.8347 0.3321  6 Sm 3.00-3.12

Record 3
VASP calculation (GGA-PBE) on a relaxed Sm4SnAsSe2 crystal.

Calculated values
SG   P2/m
DFT total energy   -46.5 eV/cell
Theoretical density   7.16 g cm⁻³

Unit cell a=4.2743 b=7.3890 c=7.4199 alpha=70.52 beta=90.00 gamma=90.00
Closest atoms and distances in Å follow each position.
Sites, in units of the cell vectors:
Sm 0.0000 0.7513 0.7427  1 As 2.99, 3 Se 3.00-3.06, 2 Sn 3.05
Sm 0.0000 0.2487 0.2573  1 As 2.99, 3 Se 3.00-3.06, 2 Sn 3.05
Sm 0.5000 0.7439 0.2584  2 As 2.98, 3 Se 3.01-3.07, 1 Sn 3.04
Sm 0.5000 0.2561 0.7416  2 As 2.98, 3 Se 3.01-3.07, 1 Sn 3.04
Sn 0.5000 0.5000 0.0000  6 Sm 3.04-3.05
As 0.0000 0.5000 0.5000  6 Sm 2.98-2.99
Se 0.0000 0.0000 0.0000  6 Sm 3.06-3.07
Se 0.5000 0.0000 0.5000  6 Sm 3.00-3.01

Record 4
VASP calculation (GGA-PBE) on a relaxed TbSmAsSe crystal.

Calculated values
SG   R3m
DFT total energy   -24.4 eV/cell
Theoretical density   7.54 g cm⁻³

Unit cell a=4.1521 b=4.1521 c=7.2377 alpha=73.33 beta=73.33 gamma=60.00
Closest atoms and distances in Å follow each position.
Sites, in units of the cell vectors:
Tb 0.4481 0.4481 0.6558  3 As 2.88, 3 Se 2.97
Sm 0.9401 0.9401 0.1796  3 As 2.92, 3 Se 3.01
As 0.1922 0.1922 0.4233  3 Tb 2.88, 3 Sm 2.92
Se 0.6960 0.6960 0.9121  3 Tb 2.97, 3 Sm 3.01

Record 5
VASP calculation (GGA-PBE) on a relaxed Sm6TeAs2Se3 crystal.

Calculated values
SG   C2/m
DFT total energy   -71.5 eV/cell
Theoretical density   7.28 g cm⁻³

Unit cell a=4.2262 b=8.5002 c=9.4675 alpha=102.48 beta=102.90 gamma=90.00
Closest atoms and distances in Å follow each position.
Sites, in units of the cell vectors:
Sm 0.3253 0.8990 0.6506  2 As 2.92, 3 Se 2.94-3.07, 1 Te 3.15
Sm 0.6700 0.5778 0.3400  3 As 2.93-2.95, 3 Se 3.06-3.07
Sm 0.6747 0.1010 0.3494  2 As 2.92, 3 Se 2.94-3.07, 1 Te 3.15
Sm 0.0062 0.2720 0.0125  3 Se 2.89-3.04, 1 As 2.90, 2 Te 3.12
Sm 0.9938 0.7280 0.9875  3 Se 2.89-3.04, 1 As 2.90, 2 Te 3.12
Sm 0.3300 0.4222 0.6600  3 As 2.93-2.95, 3 Se 3.06-3.07
Te 0.5000 0.0000 0.0000  6 Sm 3.12-3.15
As 0.8325 0.6655 0.6650  6 Sm 2.90-2.95
As 0.1675 0.3345 0.3350  6 Sm 2.90-2.95
Se 0.5000 0.5000 0.0000  6 Sm 2.89-3.06
Se 0.8378 0.1651 0.6755  6 Sm 2.94-3.07
Se 0.1622 0.8349 0.3245  6 Sm 2.94-3.07

Record 6
VASP calculation (GGA-PBE) on a relaxed Sm6Te2AsSe3 crystal.

Calculated values
SG   C2/m
DFT total energy   -69.5 eV/cell
Theoretical density   7.35 g cm⁻³

Unit cell a=4.2402 b=8.6176 c=9.5586 alpha=102.59 beta=102.81 gamma=90.00
Closest atoms and distances in Å follow each position.
Sites, in units of the cell vectors:
Sm 0.3400 0.9349 0.6801  1 As 2.91, 3 Se 2.91-3.08, 2 Te 3.16
Sm 0.6570 0.6051 0.3140  3 Se 2.86-2.90, 3 Te 3.16-3.18
Sm 0.6600 0.0651 0.3199  1 As 2.91, 3 Se 2.91-3.08, 2 Te 3.16
Sm 0.9944 0.2373 0.9889  2 As 2.96, 3 Se 3.00-3.09, 1 Te 3.17
Sm 0.0056 0.7627 0.0111  2 As 2.96, 3 Se 3.00-3.09, 1 Te 3.17
Sm 0.3430 0.3949 0.6860  3 Se 2.86-2.90, 3 Te 3.16-3.18
Te 0.8315 0.6600 0.6630  6 Sm 3.16-3.18
Te 0.1685 0.3400 0.3370  6 Sm 3.16-3.18
As 0.5000 0.0000 0.0000  6 Sm 2.91-2.96
Se 0.5000 0.5000 0.0000  6 Sm 2.86-3.09
Se 0.8294 0.1600 0.6588  6 Sm 2.90-3.08
Se 0.1706 0.8400 0.3412  6 Sm 2.90-3.08

Record 7
VASP calculation (GGA-PBE) on a relaxed Sm4Te2AsSe crystal.

Calculated values
SG   P2/m
DFT total energy   -46.0 eV/cell
Theoretical density   7.33 g cm⁻³

Unit cell a=4.2797 b=7.4007 c=7.6362 alpha=108.88 beta=90.00 gamma=90.00
Closest atoms and distances in Å follow each position.
Sites, in units of the cell vectors:
Sm 0.5000 0.2345 0.2179  2 As 2.91, 1 Se 2.96, 3 Te 3.17-3.22
Sm 0.5000 0.7655 0.7821  2 As 2.91, 1 Se 2.96, 3 Te 3.17-3.22
Sm 0.0000 0.2561 0.7819  1 As 2.90, 2 Se 2.94, 3 Te 3.19-3.23
Sm 0.0000 0.7439 0.2181  1 As 2.90, 2 Se 2.94, 3 Te 3.19-3.23
Te 0.5000 0.0000 0.5000  6 Sm 3.17-3.19
Te 0.0000 0.5000 0.5000  6 Sm 3.22-3.23
As 0.0000 0.0000 0.0000  6 Sm 2.90-2.91
Se 0.5000 0.5000 0.0000  6 Sm 2.94-2.96

Record 8
VASP calculation (GGA-PBE) on a relaxed Sm8Te4As3Se crystal.

Calculated values
SG   R-3m
DFT total energy   -92.7 eV/cell
Theoretical density   7.29 g cm⁻³

Unit cell a=8.5610 b=8.7632 c=8.5604 alpha=119.24 beta=120.00 gamma=90.00
Closest atoms and distances in Å follow each position.
Sites, in units of the cell vectors:
Sm 0.2421 0.7192 0.9770  2 As 2.92, 1 Se 2.97, 3 Te 3.17-3.21
Sm 0.2421 0.7192 0.4843  2 As 2.92, 1 Se 2.97, 3 Te 3.17-3.21
Sm 0.2603 0.2809 0.5206  3 As 2.94, 3 Te 3.20
Sm 0.7349 0.7192 0.9770  2 As 2.92, 1 Se 2.97, 3 Te 3.17-3.21
Sm 0.2651 0.2808 0.0230  2 As 2.92, 1 Se 2.97, 3 Te 3.17-3.21
Sm 0.7397 0.7191 0.4794  3 As 2.94, 3 Te 3.20
Sm 0.7579 0.2808 0.5157  2 As 2.92, 1 Se 2.97, 3 Te 3.17-3.21
Sm 0.7579 0.2808 0.0230  2 As 2.92, 1 Se 2.97, 3 Te 3.17-3.21
Te 0.5000 0.0000 0.0000  6 Sm 3.17
Te 0.5000 0.0000 0.5000  6 Sm 3.20-3.21
Te 0.0000 0.0000 0.0000  6 Sm 3.20-3.21
Te 0.0000 0.0000 0.5000  6 Sm 3.20-3.21
As 0.5000 0.5000 0.0000  6 Sm 2.92-2.94
As 0.5000 0.5000 0.5000  6 Sm 2.92-2.94
As 0.0000 0.5000 0.5000  6 Sm 2.92-2.94
Se 0.0000 0.5000 0.0000  6 Sm 2.97

- What is the DFT total energy in the second record?
  -68.4 eV/cell